## ZnBi2O4 (PBE-GGA)

Data for a relaxed structure of ZnBi2O4.

## Properties
Raw total energy, eV per atom: -5.130
Space group: Cmcm
Excess energy over the best structure of this formula in the dataset, meV/atom: 217.1
E_form (uncorrected), meV per atom: -1005

Structure (extended XYZ):
```
14
Lattice="1.708 -5.754 0.000 1.708 5.754 0.000 0.000 0.000 11.567" Properties=species:S:1:pos:R:3 pbc="T T T"
Zn 1.708 4.833 8.675
Zn 1.708 -4.833 2.892
Bi 1.708 1.552 6.591
Bi 1.708 1.552 10.760
Bi 1.708 -1.552 0.807
Bi 1.708 -1.552 4.976
O 0.000 0.000 0.000
O 0.000 0.000 5.784
O 1.708 2.626 1.186
O 1.708 2.626 4.598
O 1.708 0.093 2.892
O 1.708 -0.093 8.675
O 1.708 -2.626 6.969
O 1.708 -2.626 10.381
```

## ZrBi3O (PBE-GGA)

Data for a relaxed structure of ZrBi3O.

## Properties
Raw total energy, eV per atom: -4.329
Space group: Pm-3m
DOS(E_F), states/eV per cell: 8.68
Excess energy over the best structure of this formula in the dataset, meV/atom: 911.5
E_form (uncorrected), meV per atom: 701

Structure (extended XYZ):
```
5
Lattice="5.588 0.000 0.000 0.000 5.588 0.000 0.000 0.000 5.588" Properties=species:S:1:pos:R:3 pbc="T T T"
Zr 0.000 0.000 0.000
Bi 0.000 0.000 2.794
Bi 0.000 2.794 0.000
Bi 2.794 0.000 0.000
O 2.794 2.794 2.794
```

## ZrBiO4 (PBE-GGA)

Data for a relaxed structure of ZrBiO4.

## Properties
Raw total energy, eV per atom: -7.480
Space group: Cmmm
DOS(E_F), states/eV per cell: 1.86
E_form (uncorrected), meV per atom: -2103

Structure (extended XYZ):
```
6
Lattice="3.580 -3.586 0.000 3.580 3.586 0.000 0.000 0.000 3.415" Properties=species:S:1:pos:R:3 pbc="T T T"
Zr 0.000 0.000 0.000
Bi 3.580 0.000 1.708
O 1.306 0.000 1.708
O 3.580 1.454 0.000
O 3.580 -1.454 0.000
O 5.854 0.000 1.708
```

## Zr2Bi2O7 (PBE-GGA)

Data for a relaxed structure of Zr2Bi2O7.

## Properties
Raw total energy, eV per atom: -7.741
Space group: Fd-3m
DOS(E_F), states/eV per cell: 0.00
E_form (uncorrected), meV per atom: -2326

Structure (extended XYZ):
```
22
Lattice="0.000 5.412 5.412 5.412 0.000 5.412 5.412 5.412 0.000" Properties=species:S:1:pos:R:3 pbc="T T T"
Zr 0.000 0.000 0.000
Zr 2.706 2.706 0.000
Zr 2.706 0.000 2.706
Zr 0.000 2.706 2.706
Bi 5.412 2.706 2.706
Bi 2.706 5.412 2.706
Bi 2.706 2.706 5.412
Bi 5.412 5.412 5.412
O 4.059 4.059 0.913
O 4.059 0.913 4.059
O 7.205 4.059 4.059
O 6.765 6.765 3.619
O 6.765 3.619 6.765
O 9.911 6.765 6.765
O 4.059 4.059 4.059
O 6.765 6.765 6.765
O 0.913 4.059 4.059
O 4.059 7.205 4.059
O 4.059 4.059 7.205
O 3.619 6.765 6.765
O 6.765 9.911 6.765
O 6.765 6.765 9.911
```

## ZrBiO2 (PBE-GGA)

Data for a relaxed structure of ZrBiO2.

## Properties
Raw total energy, eV per atom: -7.778
Space group: R-3m
DOS(E_F), states/eV per cell: 1.04
E_form (uncorrected), meV per atom: -2192

Structure (extended XYZ):
```
4
Lattice="1.650 0.953 10.140 -1.650 0.953 10.140 0.000 -1.905 10.140" Properties=species:S:1:pos:R:3 pbc="T T T"
Zr 0.000 0.000 0.000
Bi 0.000 0.000 15.209
O 0.000 0.000 11.114
O 0.000 0.000 19.305
```

## Zr2Bi2O7 (PBE-GGA)

Data for a relaxed structure of Zr2Bi2O7.

## Properties
Raw total energy, eV per atom: -7.750
Space group: P2_1
DOS(E_F), states/eV per cell: 0.00
E_form (uncorrected), meV per atom: -2335

Structure (extended XYZ):
```
44
Lattice="8.133 0.000 0.000 0.000 5.803 0.000 -2.047 0.000 13.856" Properties=species:S:1:pos:R:3 pbc="T T T"
Zr -0.041 0.000 1.536
Zr 0.022 2.776 4.452
Zr 2.028 5.684 9.516
Zr 1.989 2.908 12.363
Zr 4.097 0.006 1.493
Zr 4.059 2.782 4.341
Zr 6.064 5.677 9.404
Zr 6.127 2.901 12.320
Bi -0.138 2.465 8.179
Bi -0.053 5.701 12.173
Bi 2.008 2.870 1.576
Bi 2.084 5.766 6.133
Bi 4.002 2.864 7.723
Bi 4.079 5.772 12.280
Bi 6.140 2.800 1.684
Bi 6.224 5.366 5.678
O -1.466 4.185 10.791
O -1.613 4.715 13.538
O 0.197 3.977 2.510
O -0.100 1.591 6.169
O 0.183 4.524 5.544
O -0.017 0.570 9.486
O -0.014 2.328 12.753
O 2.021 0.570 1.558
O 2.016 2.474 3.934
O 1.444 4.189 10.830
O 1.976 4.448 7.866
O 2.191 1.435 8.048
O 1.563 4.714 13.547
O 2.275 1.133 11.312
O 3.812 4.034 2.544
O 4.524 1.813 0.309
O 3.896 4.336 5.808
O 4.111 1.546 5.990
O 4.643 1.288 3.027
O 4.071 5.376 9.922
O 4.065 3.471 12.298
O 6.100 5.229 1.104
O 6.103 3.472 4.370
O 5.903 1.623 8.313
O 6.186 4.492 7.688
O 5.890 1.076 11.346
O 7.699 1.814 0.318
O 7.552 1.284 3.065
```

## ZrBi6O12 (PBE-GGA)

Data for a relaxed structure of ZrBi6O12.

## Properties
Raw total energy, eV per atom: -6.256
Space group: R-3
DOS(E_F), states/eV per cell: 15.50
E_form (uncorrected), meV per atom: -1449

Structure (extended XYZ):
```
19
Lattice="5.150 2.974 3.220 -5.150 2.974 3.220 0.000 -5.947 3.220" Properties=species:S:1:pos:R:3 pbc="T T T"
Zr 0.000 0.000 0.000
Bi -0.831 -2.242 3.291
Bi -1.526 1.841 3.291
Bi -2.357 -0.402 6.368
Bi 2.357 0.402 3.291
Bi 1.526 -1.841 6.368
Bi 0.831 2.242 6.368
O -4.535 -1.259 5.327
O -1.177 -4.557 4.332
O -1.984 -0.337 3.749
O -3.358 3.298 4.332
O 1.284 -1.550 3.749
O -0.700 -1.887 5.909
O 0.700 1.887 3.749
O -1.284 1.550 5.909
O 3.358 -3.298 5.327
O 1.984 0.337 5.909
O 1.177 4.557 5.327
O 4.535 1.259 4.332
```

## ZrBiO4 (PBE-GGA)

Data for a relaxed structure of ZrBiO4.

## Properties
Raw total energy, eV per atom: -7.523
Space group: P-1
E_form (uncorrected), meV per atom: -2146

Structure (extended XYZ):
```
24
Lattice="5.491 0.000 0.000 -0.456 7.829 0.000 -0.087 -1.035 7.790" Properties=species:S:1:pos:R:3 pbc="T T T"
Zr 1.082 0.926 2.871
Zr 1.055 4.881 2.539
Zr 3.893 1.913 5.251
Zr 3.866 5.868 4.919
Bi 1.201 0.174 6.721
Bi 1.142 4.286 6.384
Bi 3.806 2.508 1.406
Bi 3.746 6.620 1.069
O -0.053 1.235 0.916
O 0.207 2.391 6.326
O 0.051 6.811 2.586
O 0.144 4.733 4.446
O 1.966 2.987 2.454
O 1.900 5.243 0.603
O 2.168 0.929 4.618
O 2.263 6.153 6.268
O 2.685 0.641 1.522
O 2.779 5.865 3.172
O 3.048 1.551 7.188
O 2.982 3.807 5.337
O 4.804 2.061 3.345
O 4.896 -0.017 5.204
O 4.741 4.403 1.464
O 5.001 5.559 6.875
```

## Zr2Bi5O12 (PBE-GGA)

Data for a relaxed structure of Zr2Bi5O12.

## Properties
Raw total energy, eV per atom: -6.856
Space group: C2/m
DOS(E_F), states/eV per cell: 4.84
E_form (uncorrected), meV per atom: -1803

Structure (extended XYZ):
```
19
Lattice="6.559 -3.207 0.000 6.559 3.207 0.000 -2.261 0.000 7.065" Properties=species:S:1:pos:R:3 pbc="T T T"
Zr 6.559 1.629 0.000
Zr 6.559 -1.629 0.000
Bi -1.130 0.000 3.532
Bi 2.287 0.000 4.605
Bi 3.735 0.000 1.221
Bi 7.122 0.000 5.844
Bi 8.571 0.000 2.460
O -0.387 0.000 1.326
O 3.749 1.744 2.923
O 2.293 1.403 6.420
O 7.109 1.744 4.142
O 8.564 1.403 0.645
O 6.054 0.000 1.321
O 4.803 0.000 5.744
O 2.293 -1.403 6.420
O 3.749 -1.744 2.923
O 8.564 -1.403 0.645
O 7.109 -1.744 4.142
O 11.244 0.000 5.738
```

## Zr4BiO (PBE-GGA)

Data for a relaxed structure of Zr4BiO.

## Properties
Raw total energy, eV per atom: -7.925
Space group: C2/c
DOS(E_F), states/eV per cell: 7.91
E_form (uncorrected), meV per atom: -753

Structure (extended XYZ):
```
12
Lattice="3.873 -7.260 0.000 3.873 7.260 0.000 -2.816 0.000 4.816" Properties=species:S:1:pos:R:3 pbc="T T T"
Zr 0.512 3.974 4.437
Zr 0.287 1.183 2.964
Zr 3.010 3.974 2.788
Zr 1.695 -1.183 0.555
Zr 3.235 1.183 4.261
Zr 1.920 -3.974 2.029
Zr 4.643 -1.183 1.853
Zr 4.418 -3.974 0.379
Bi 3.169 1.441 1.204
Bi 1.761 -1.441 3.612
O 1.761 5.575 3.612
O 3.169 -5.575 1.204
```

## ZrBi2O6 (PBE-GGA)

Data for a relaxed structure of ZrBi2O6.

## Properties
Raw total energy, eV per atom: -6.577
Space group: I-42m
DOS(E_F), states/eV per cell: 4.50
E_form (uncorrected), meV per atom: -1459

Structure (extended XYZ):
```
9
Lattice="-2.115 2.115 7.842 2.115 -2.115 7.842 2.115 2.115 -7.842" Properties=species:S:1:pos:R:3 pbc="T T T"
Zr 0.000 0.000 0.000
Bi 0.000 0.000 5.049
Bi 0.000 0.000 10.636
O 1.077 1.077 -1.265
O 2.115 0.000 3.921
O 1.038 -1.038 9.107
O 1.038 1.038 6.578
O 0.000 2.115 3.921
O -1.038 1.038 9.107
```

## ZrBi3O (PBE-GGA)

Data for a relaxed structure of ZrBi3O.

## Properties
Raw total energy, eV per atom: -5.241
Space group: Pm-3m
DOS(E_F), states/eV per cell: 4.95
Excess energy over the best structure of this formula in the dataset, meV/atom: 0.0
E_form (uncorrected), meV per atom: -211

Structure (extended XYZ):
```
5
Lattice="4.920 0.000 0.000 0.000 4.920 0.000 0.000 0.000 4.920" Properties=species:S:1:pos:R:3 pbc="T T T"
Zr 0.000 0.000 0.000
Bi 0.000 2.460 2.460
Bi 2.460 0.000 2.460
Bi 2.460 2.460 0.000
O 2.460 2.460 2.460
```

- raw total energy of number 9 (Zr2Bi5O12)?
  -6.856 eV per atom